Entry 1:
{
  "formula": "CsCa2SnBr8",
  "functional": "GGA-PBE",
  "state": "relaxed",
  "lattice": [[-2.397, -5.966, 2.871], [1.969, -3.586, -5.496], [8.339, -1.474, 3.930]],
  "species": ["Cs", "Br", "Br", "Br", "Br", "Br", "Br", "Br", "Br", "Ca", "Ca", "Sn"],
  "fractional_positions": [[0.000, 0.000, 0.500], [0.336, 0.252, 0.000], [0.843, 0.256, 0.795], [0.664, 0.748, 0.000], [0.842, 0.255, 0.204], [0.158, 0.745, 0.796], [0.404, 0.267, 0.500], [0.157, 0.744, 0.205], [0.596, 0.733, 0.500], [0.500, 0.500, 0.749], [0.500, 0.500, 0.251], [0.000, 0.000, 0.000]],
  "e_form_raw_ev_per_atom": -1.444,
  "total_energy_ev_per_atom": -3.298,
  "magnetic_moment_mub_per_fu": 0.0
}



Entry 2:
{
  "formula": "Cs2SrCaBr6",
  "functional": "GGA-PBE",
  "state": "relaxed",
  "lattice": [[-2.111, 2.169, 7.767], [-4.764, -6.814, 0.608], [1.163, -5.352, 6.284]],
  "species": ["Ca", "Cs", "Cs", "Br", "Br", "Br", "Br", "Br", "Br", "Sr"],
  "fractional_positions": [[0.500, 0.500, 0.000], [0.250, 0.750, 0.500], [0.750, 0.250, 0.500], [0.255, 0.255, 0.000], [0.744, 0.744, 0.511], [0.745, 0.745, 0.000], [0.745, 0.255, 0.000], [0.255, 0.745, 0.000], [0.256, 0.256, 0.489], [0.000, 0.000, 0.000]],
  "e_form_raw_ev_per_atom": -1.987,
  "total_energy_ev_per_atom": -3.530,
  "magnetic_moment_mub_per_fu": 0.0
}



- What is the formula in the second record?
  Cs2SrCaBr6